VASP calculation (meta-GGA SCAN) on BeTc2Pb at its PBEsol-relaxed geometry.

Energy of formation (kJ per mole of atoms): 36.2
Space-group type: P4/mmm
Crystal system: tetragonal
E_tot (eV/cell): -148.75
Energy above the most stable polymorph in this dataset (meV/atom): 0

The structure in POSCAR format:
```
BeTc2Pb
1.0
-1.278 0.619 -2.660
-2.731 -0.226 1.260
0.131 6.484 1.446
Be Pb Tc
1 1 2
Cartesian
-2.005 0.197 -0.700 Be
-1.939 3.439 0.023 Pb
0.108 5.346 1.192 Tc
0.023 1.138 0.254 Tc
```


VASP calculation (meta-GGA SCAN) on Be3TcPb at its PBEsol-relaxed geometry.

Energy of formation (kJ per mole of atoms): 73.8
Space-group type: Pm-3m
Crystal system: cubic
E_tot (eV/cell): -120.08

The structure in POSCAR format:
```
Be3TcPb
1.0
4.304 0.000 0.000
0.000 4.304 0.000
0.000 0.000 4.304
Tc Be Pb
1 3 1
Cartesian
0.000 0.000 0.000 Tc
0.000 2.152 0.000 Be
2.152 0.000 0.000 Be
0.000 0.000 2.152 Be
2.152 2.152 2.152 Pb
```


VASP calculation (meta-GGA SCAN) on BeTcPb2 at its PBEsol-relaxed geometry.

Energy of formation (kJ per mole of atoms): 87.3
Space-group type: I4/mmm
Crystal system: tetragonal
E_tot (eV/cell): -187.36

The structure in POSCAR format:
```
BeTcPb2
1.0
-3.039 2.424 1.986
-1.398 -2.222 -4.225
-2.530 -3.531 0.438
Pb Be Tc
2 1 1
Cartesian
-2.091 -1.388 -1.506 Pb
-4.876 -1.941 -0.294 Pb
0.000 0.000 0.000 Be
-2.785 -0.553 1.212 Tc
```


VASP calculation (meta-GGA SCAN) on BeTcPb2 at its PBEsol-relaxed geometry.

Energy of formation (kJ per mole of atoms): 37.3
Space-group type: Amm2
Crystal system: orthorhombic
E_tot (eV/cell): -189.43

The structure in POSCAR format:
```
BeTcPb2
1.0
3.637 0.000 0.000
0.000 4.052 0.000
-1.818 0.000 5.052
Pb Be Tc
2 1 1
Cartesian
1.818 0.000 4.760 Pb
0.000 2.026 2.781 Pb
1.818 2.026 0.632 Be
1.818 0.000 1.843 Tc
```